1.
Th6Al43Mo4 | OQMD via LeMat-Bulk | PBE-GGA | optimized geometry; space group = P6_3/mcm (193); DFT total energy = -4.985 eV/atom; mass density = 5.064 g/cm3; total magnetization = 0.000 μB/atom
1.0
11.0952 0.0000 0.0000
-5.5476 9.6088 0.0000
0.0000 0.0000 18.0607
Th Al Mo
12 86 8
Cartesian
-2.6087 4.5184 1.7207
-2.6087 4.5184 7.3097
-2.9389 5.0904 10.7510
-2.9389 5.0904 16.3400
5.2174 0.0000 1.7207
5.2174 0.0000 7.3097
2.6087 4.5184 10.7510
2.6087 4.5184 16.3400
5.8779 0.0000 10.7510
5.8779 0.0000 16.3400
2.9389 5.0904 1.7207
2.9389 5.0904 7.3097
-0.8125 1.4073 13.5455
-0.8860 1.5346 2.0654
-0.8860 1.5346 6.9649
-1.3975 2.4206 9.5796
-1.3975 2.4206 17.5115
-4.1501 7.1882 0.5492
-4.1501 7.1882 8.4811
-4.6616 8.0742 11.0958
-4.6616 8.0742 15.9953
-4.7351 8.2015 4.5152
1.6250 0.0000 13.5455
0.8125 1.4073 4.5152
-1.4230 5.3078 4.5152
-1.6624 5.7225 13.5455
-0.4207 3.7765 12.0212
-0.4207 3.7765 15.0698
-2.4875 7.3562 2.9909
-2.4875 7.3562 6.0395
1.7720 0.0000 2.0654
1.7720 0.0000 6.9649
0.8860 1.5346 11.0958
0.8860 1.5346 15.9953
0.4207 3.7765 2.9909
0.4207 3.7765 6.0395
-2.0667 8.0849 12.0212
-2.0667 8.0849 15.0698
0.0000 4.7478 0.0000
0.0000 4.7478 9.0304
-1.4359 7.2349 0.0000
-1.4359 7.2349 9.0304
2.7950 0.0000 9.5796
2.7950 0.0000 17.5115
1.3975 2.4206 0.5492
1.3975 2.4206 8.4811
0.0000 6.4058 2.3027
0.0000 6.4058 6.7277
0.0000 6.4058 11.3330
0.0000 6.4058 15.7580
3.4809 1.5239 12.0212
3.4809 1.5239 15.0698
3.0601 2.2526 2.9909
3.0601 2.2526 6.0395
1.4230 5.3078 13.5455
-0.2394 8.1872 4.5152
1.6624 5.7225 4.5152
0.2394 8.1872 13.5455
4.1117 2.3739 0.0000
4.1117 2.3739 9.0304
1.4359 7.2349 0.0000
1.4359 7.2349 9.0304
5.3082 1.4216 4.5152
3.8852 3.8862 13.5455
5.7871 1.4216 13.5455
4.1246 4.3010 4.5152
2.4875 7.3562 12.0212
2.4875 7.3562 15.0698
2.0668 8.0849 2.9909
2.0668 8.0849 6.0395
5.5476 3.2029 2.3027
5.5476 3.2029 6.7277
5.5476 3.2029 11.3330
5.5476 3.2029 15.7580
8.3002 0.0000 0.5492
8.3002 0.0000 8.4811
4.1501 7.1882 9.5796
4.1501 7.1882 17.5115
6.9835 2.3739 0.0000
6.9835 2.3739 9.0304
5.5476 4.8610 0.0000
5.5476 4.8610 9.0304
7.6144 1.5239 2.9909
7.6144 1.5239 6.0395
5.1269 5.8323 12.0212
5.1269 5.8323 15.0698
9.3232 0.0000 11.0958
9.3232 0.0000 15.9953
4.6616 8.0742 2.0654
4.6616 8.0742 6.9649
8.0351 2.2526 12.0212
8.0351 2.2526 15.0698
5.9684 5.8323 2.9909
5.9684 5.8323 6.0395
7.2100 3.8862 4.5152
6.9706 4.3010 13.5455
9.4702 0.0000 4.5152
4.7351 8.2015 13.5455
0.0000 0.0000 0.0000
0.0000 0.0000 9.0304
-1.4874 2.5763 4.5152
-4.0602 7.0325 13.5455
2.9748 0.0000 4.5152
1.4874 2.5763 13.5455
8.1204 0.0000 13.5455
4.0602 7.0325 4.5152

2.
Th3AlMo6 | OQMD via LeMat-Bulk | PBE-GGA | optimized geometry; space group = I4/mmm (139); DFT total energy = -7.769 eV/atom; mass density = 8.510 g/cm3; total magnetization = 0.006 μB/atom
1.0
-3.3833 3.3833 5.5346
3.3833 -3.3833 5.5346
3.3833 3.3833 -5.5346
Th Al Mo
3 1 6
Cartesian
0.0000 0.0000 0.0000
3.3833 0.0000 2.7673
0.0000 3.3833 2.7673
0.0000 0.0000 5.5346
3.3833 1.1005 0.0000
0.0000 0.0000 3.1568
1.1005 3.3833 0.0000
2.2828 0.0000 5.5346
0.0000 0.0000 7.9124
0.0000 2.2828 5.5346